# Ho4Er15Th | Alexandria | PBE | optimized geometry
# * ΔE_f: 0.03 eV per atom
# * mass density: 9.20 g/cm³
# * volume: 30.70 Å³ per atom
# * magnetic moment: 0.000 μB per atom
data_Ho4Er15Th
_chemical_formula_sum 'Ho4 Er15 Th1'
_space_group_name_H-M_alt 'P 4/m m m'
_space_group_IT_number 123
_space_group_name_Hall '-P 4 2'
_cell_length_a 4.9777
_cell_length_b 4.9777
_cell_length_c 24.7799
_cell_angle_alpha 90.00
_cell_angle_beta 90.00
_cell_angle_gamma 90.00
loop_
_atom_site_label
_atom_site_type_symbol
_atom_site_fract_x
_atom_site_fract_y
_atom_site_fract_z
Ho1 Ho 0.0000 0.0000 0.0999
Ho2 Ho 0.0000 0.0000 0.2999
Er1 Er 0.0000 0.5000 0.0000
Er2 Er 0.0000 0.5000 0.1999
Er3 Er 0.0000 0.5000 0.4004
Er4 Er 0.5000 0.5000 0.1000
Er5 Er 0.5000 0.5000 0.2987
Er6 Er 0.5000 0.5000 0.5000
Th1 Th 0.0000 0.0000 0.5000

# Ho6Er12Th | Alexandria | PBE | optimized geometry
# * ΔE_f: 0.22 eV per atom
# * offset from the most stable computed form: 72.0 meV/atom
# * mass density: 8.78 g/cm³
# * volume: 32.15 Å³ per atom
# * magnetic moment: 0.000 μB per atom
data_Ho6Er12Th
_chemical_formula_sum 'Ho18 Er36 Th3'
_space_group_name_H-M_alt 'R -3 m'
_space_group_IT_number 166
_space_group_name_Hall '-R 3 2"'
_cell_length_a 13.2158
_cell_length_b 13.2158
_cell_length_c 12.1167
_cell_angle_alpha 90.00
_cell_angle_beta 90.00
_cell_angle_gamma 120.00
loop_
_atom_site_label
_atom_site_type_symbol
_atom_site_fract_x
_atom_site_fract_y
_atom_site_fract_z
Ho1 Ho 0.0380 0.5190 0.1262
Er1 Er 0.0000 0.2566 0.0000
Er2 Er 0.0898 0.1797 0.7565
Th1 Th 0.0000 0.0000 0.5000

# Ho15Er2Th2 | Alexandria | PBE | optimized geometry
# * ΔE_f: 0.30 eV per atom
# * mass density: 8.72 g/cm³
# * volume: 32.79 Å³ per atom
# * magnetic moment: 0.000 μB per atom
data_Ho15Er2Th2
_chemical_formula_sum 'Ho45 Er6 Th6'
_space_group_name_H-M_alt 'R -3 m'
_space_group_IT_number 166
_space_group_name_Hall '-R 3 2"'
_cell_length_a 11.0222
_cell_length_b 11.0222
_cell_length_c 17.7655
_cell_angle_alpha 90.00
_cell_angle_beta 90.00
_cell_angle_gamma 120.00
loop_
_atom_site_label
_atom_site_type_symbol
_atom_site_fract_x
_atom_site_fract_y
_atom_site_fract_z
Ho1 Ho 0.0000 0.3013 0.0000
Ho2 Ho 0.0000 0.5000 0.5000
Ho3 Ho 0.0105 0.5052 0.1359
Er1 Er 0.0000 0.0000 0.3154
Th1 Th 0.0000 0.0000 0.0885

# HoEr10Th4 | Alexandria | PBE | optimized geometry
# * ΔE_f: 0.30 eV per atom
# * mass density: 9.43 g/cm³
# * volume: 32.46 Å³ per atom
# * magnetic moment: 0.000 μB per atom
data_HoEr10Th4
_chemical_formula_sum 'Ho2 Er20 Th8'
_space_group_name_H-M_alt 'I 4/m m m'
_space_group_IT_number 139
_space_group_name_Hall '-I 4 2'
_cell_length_a 11.2225
_cell_length_b 11.2225
_cell_length_c 7.7309
_cell_angle_alpha 90.00
_cell_angle_beta 90.00
_cell_angle_gamma 90.00
loop_
_atom_site_label
_atom_site_type_symbol
_atom_site_fract_x
_atom_site_fract_y
_atom_site_fract_z
Ho1 Ho 0.0000 0.0000 0.0000
Er1 Er 0.0000 0.2087 0.2924
Er2 Er 0.0000 0.5000 0.2500
Th1 Th 0.2277 0.2277 0.0000

# Ho12Er3Th | Alexandria | PBE | optimized geometry
# * ΔE_f: 0.03 eV per atom
# * mass density: 9.09 g/cm³
# * volume: 30.99 Å³ per atom
# * magnetic moment: 0.000 μB per atom
data_Ho12Er3Th
_chemical_formula_sum 'Ho12 Er3 Th1'
_space_group_name_H-M_alt 'P 4/m m m'
_space_group_IT_number 123
_space_group_name_Hall '-P 4 2'
_cell_length_a 4.9908
_cell_length_b 4.9908
_cell_length_c 19.9082
_cell_angle_alpha 90.00
_cell_angle_beta 90.00
_cell_angle_gamma 90.00
loop_
_atom_site_label
_atom_site_type_symbol
_atom_site_fract_x
_atom_site_fract_y
_atom_site_fract_z
Ho1 Ho 0.0000 0.0000 0.0000
Ho2 Ho 0.0000 0.0000 0.2482
Ho3 Ho 0.0000 0.0000 0.5000
Ho4 Ho 0.0000 0.5000 0.1249
Ho5 Ho 0.0000 0.5000 0.3755
Er1 Er 0.5000 0.5000 0.0000
Er2 Er 0.5000 0.5000 0.2498
Th1 Th 0.5000 0.5000 0.5000

# Ho4ErTh5 | Alexandria | PBE | optimized geometry
# * ΔE_f: 0.13 eV per atom
# * mass density: 10.30 g/cm³
# * volume: 32.05 Å³ per atom
# * magnetic moment: 0.000 μB per atom
data_Ho4ErTh5
_chemical_formula_sum 'Ho8 Er2 Th10'
_space_group_name_H-M_alt 'C 1 2/m 1'
_space_group_IT_number 12
_space_group_name_Hall '-C 2y'
_cell_length_a 17.5690
_cell_length_b 3.4369
_cell_length_c 11.1197
_cell_angle_alpha 90.00
_cell_angle_beta 107.33
_cell_angle_gamma 90.00
loop_
_atom_site_label
_atom_site_type_symbol
_atom_site_fract_x
_atom_site_fract_y
_atom_site_fract_z
Ho1 Ho 0.0934 0.0000 0.3091
Ho2 Ho 0.1967 0.5000 0.5881
Er1 Er 0.0000 0.5000 0.5000
Th1 Th 0.0000 0.5000 0.0000
Th2 Th 0.1091 0.0000 0.7940
Th3 Th 0.1972 0.0000 0.0945

# Ho3Er4Th4 | Alexandria | PBE | optimized geometry
# * ΔE_f: 0.18 eV per atom
# * mass density: 9.82 g/cm³
# * volume: 32.15 Å³ per atom
# * magnetic moment: 0.000 μB per atom
data_Ho3Er4Th4
_chemical_formula_sum 'Ho6 Er8 Th8'
_space_group_name_H-M_alt 'A m m 2'
_space_group_IT_number 38
_space_group_name_Hall 'A 2 -2'
_cell_length_a 10.6779
_cell_length_b 5.5282
_cell_length_c 11.9814
_cell_angle_alpha 90.00
_cell_angle_beta 90.00
_cell_angle_gamma 90.00
loop_
_atom_site_label
_atom_site_type_symbol
_atom_site_fract_x
_atom_site_fract_y
_atom_site_fract_z
Ho1 Ho 0.0000 0.0000 0.0000
Ho2 Ho 0.2970 0.0000 0.1441
Er1 Er 0.0000 0.0000 0.6900
Er2 Er 0.2151 0.0000 0.5026
Er3 Er 0.5000 0.0000 0.6504
Th1 Th 0.0000 0.0000 0.3017
Th2 Th 0.2808 0.0000 0.8404
Th3 Th 0.5000 0.0000 0.3680

# Ho2ErTh5 | Alexandria | PBE | optimized geometry
# * ΔE_f: 0.05 eV per atom
# * mass density: 10.79 g/cm³
# * volume: 31.88 Å³ per atom
# * magnetic moment: 0.001 μB per atom
data_Ho2ErTh5
_chemical_formula_sum 'Ho4 Er2 Th10'
_space_group_name_H-M_alt 'P b a m'
_space_group_IT_number 55
_space_group_name_Hall '-P 2 2ab'
_cell_length_a 7.1210
_cell_length_b 14.2768
_cell_length_c 5.0175
_cell_angle_alpha 90.00
_cell_angle_beta 90.00
_cell_angle_gamma 90.00
loop_
_atom_site_label
_atom_site_type_symbol
_atom_site_fract_x
_atom_site_fract_y
_atom_site_fract_z
Ho1 Ho 0.2497 0.1251 0.0000
Er1 Er 0.0000 0.0000 0.5000
Th1 Th 0.0000 0.5000 0.5000
Th2 Th 0.0010 0.7500 0.5000
Th3 Th 0.2460 0.3731 0.0000

# HoEr6Th | Alexandria | PBE | optimized geometry
# * ΔE_f: 0.23 eV per atom
# * offset from the most stable computed form: 194.3 meV/atom
# * mass density: 9.27 g/cm³
# * volume: 31.37 Å³ per atom
# * magnetic moment: 0.000 μB per atom
data_HoEr6Th
_chemical_formula_sum 'Ho1 Er6 Th1'
_space_group_name_H-M_alt 'P -1'
_space_group_IT_number 2
_space_group_name_Hall '-P 1'
_cell_length_a 6.5112
_cell_length_b 6.6466
_cell_length_c 6.6962
_cell_angle_alpha 60.38
_cell_angle_beta 85.11
_cell_angle_gamma 87.36
loop_
_atom_site_label
_atom_site_type_symbol
_atom_site_fract_x
_atom_site_fract_y
_atom_site_fract_z
Ho1 Ho 0.0000 0.0000 0.0000
Er1 Er 0.2411 0.5594 0.5318
Er2 Er 0.2479 0.5290 0.0316
Er3 Er 0.2527 0.0601 0.5157
Th1 Th 0.5000 0.0000 0.0000

# Ho3Er4Th | Alexandria | PBE | optimized geometry
# * ΔE_f: 0.02 eV per atom
# * offset from the most stable computed form: 0.0 meV/atom
# * mass density: 9.24 g/cm³
# * volume: 31.36 Å³ per atom
# * magnetic moment: 0.000 μB per atom
data_Ho3Er4Th
_chemical_formula_sum 'Ho6 Er8 Th2'
_space_group_name_H-M_alt 'P m n 21'
_space_group_IT_number 31
_space_group_name_Hall 'P 2ac -2'
_cell_length_a 11.2579
_cell_length_b 7.1825
_cell_length_c 6.2051
_cell_angle_alpha 90.00
_cell_angle_beta 90.00
_cell_angle_gamma 90.00
loop_
_atom_site_label
_atom_site_type_symbol
_atom_site_fract_x
_atom_site_fract_y
_atom_site_fract_z
Ho1 Ho 0.0000 0.1232 0.0000
Ho2 Ho 0.2494 0.1232 0.3314
Er1 Er 0.0000 0.3751 0.5003
Er2 Er 0.0000 0.6277 0.0015
Er3 Er 0.2503 0.3741 0.8408
Th1 Th 0.0000 0.8754 0.5020

# Ho12ErTh7 | Alexandria | PBE | optimized geometry
# * ΔE_f: 0.27 eV per atom
# * mass density: 9.62 g/cm³
# * volume: 32.55 Å³ per atom
# * magnetic moment: 0.000 μB per atom
data_Ho12ErTh7
_chemical_formula_sum 'Ho36 Er3 Th21'
_space_group_name_H-M_alt 'R -3'
_space_group_IT_number 148
_space_group_name_Hall '-R 3'
_cell_length_a 11.9056
_cell_length_b 11.9056
_cell_length_c 15.9100
_cell_angle_alpha 90.00
_cell_angle_beta 90.00
_cell_angle_gamma 120.00
loop_
_atom_site_label
_atom_site_type_symbol
_atom_site_fract_x
_atom_site_fract_y
_atom_site_fract_z
Ho1 Ho 0.0245 0.4450 0.2205
Ho2 Ho 0.0502 0.5871 0.5839
Er1 Er 0.0000 0.0000 0.5000
Th1 Th 0.0000 0.0000 0.0000
Th2 Th 0.0560 0.1842 0.2904

# Ho6Er3Th | Alexandria | PBE | optimized geometry
# * ΔE_f: 0.15 eV per atom
# * offset from the most stable computed form: 0.0 meV/atom
# * mass density: 9.06 g/cm³
# * volume: 31.59 Å³ per atom
# * magnetic moment: 0.000 μB per atom
data_Ho6Er3Th
_chemical_formula_sum 'Ho24 Er12 Th4'
_space_group_name_H-M_alt 'C m c 21'
_space_group_IT_number 36
_space_group_name_Hall 'C 2c -2'
_cell_length_a 9.3720
_cell_length_b 15.0945
_cell_length_c 8.9315
_cell_angle_alpha 90.00
_cell_angle_beta 90.00
_cell_angle_gamma 90.00
loop_
_atom_site_label
_atom_site_type_symbol
_atom_site_fract_x
_atom_site_fract_y
_atom_site_fract_z
Ho1 Ho 0.0000 0.0536 0.0000
Ho2 Ho 0.0000 0.2826 0.8719
Ho3 Ho 0.1755 0.1458 0.6408
Ho4 Ho 0.2459 0.0601 0.3131
Er1 Er 0.0000 0.4484 0.1290
Er2 Er 0.1781 0.3526 0.4826
Th1 Th 0.0000 0.2243 0.2363

# Ho2Er9Th | Alexandria | PBE | optimized geometry
# * ΔE_f: 0.03 eV per atom
# * mass density: 9.30 g/cm³
# * volume: 30.77 Å³ per atom
# * magnetic moment: 0.000 μB per atom
data_Ho2Er9Th
_chemical_formula_sum 'Ho2 Er9 Th1'
_space_group_name_H-M_alt 'P 4/m m m'
_space_group_IT_number 123
_space_group_name_Hall '-P 4 2'
_cell_length_a 4.9786
_cell_length_b 4.9786
_cell_length_c 14.8990
_cell_angle_alpha 90.00
_cell_angle_beta 90.00
_cell_angle_gamma 90.00
loop_
_atom_site_label
_atom_site_type_symbol
_atom_site_fract_x
_atom_site_fract_y
_atom_site_fract_z
Ho1 Ho 0.0000 0.0000 0.1668
Er1 Er 0.0000 0.5000 0.0000
Er2 Er 0.0000 0.5000 0.3343
Er3 Er 0.5000 0.5000 0.1649
Er4 Er 0.5000 0.5000 0.5000
Th1 Th 0.0000 0.0000 0.5000

# HoEr9Th2 | Alexandria | PBE | optimized geometry
# * ΔE_f: 0.03 eV per atom
# * mass density: 9.57 g/cm³
# * volume: 30.86 Å³ per atom
# * magnetic moment: 0.000 μB per atom
data_HoEr9Th2
_chemical_formula_sum 'Ho1 Er9 Th2'
_space_group_name_H-M_alt 'P 4/m m m'
_space_group_IT_number 123
_space_group_name_Hall '-P 4 2'
_cell_length_a 4.9836
_cell_length_b 4.9836
_cell_length_c 14.9089
_cell_angle_alpha 90.00
_cell_angle_beta 90.00
_cell_angle_gamma 90.00
loop_
_atom_site_label
_atom_site_type_symbol
_atom_site_fract_x
_atom_site_fract_y
_atom_site_fract_z
Ho1 Ho 0.0000 0.0000 0.0000
Er1 Er 0.0000 0.5000 0.1675
Er2 Er 0.0000 0.5000 0.5000
Er3 Er 0.5000 0.5000 0.0000
Er4 Er 0.5000 0.5000 0.3326
Th1 Th 0.0000 0.0000 0.3340

# Ho2Er5Th2 | Alexandria | PBE | optimized geometry
# * ΔE_f: 0.29 eV per atom
# * offset from the most stable computed form: 101.3 meV/atom
# * mass density: 8.79 g/cm³
# * volume: 34.22 Å³ per atom
# * magnetic moment: 0.000 μB per atom
data_Ho2Er5Th2
_chemical_formula_sum 'Ho2 Er5 Th2'
_space_group_name_H-M_alt 'P -1'
_space_group_IT_number 2
_space_group_name_Hall '-P 1'
_cell_length_a 3.4606
_cell_length_b 8.0600
_cell_length_c 11.3418
_cell_angle_alpha 80.15
_cell_angle_beta 81.23
_cell_angle_gamma 89.94
loop_
_atom_site_label
_atom_site_type_symbol
_atom_site_fract_x
_atom_site_fract_y
_atom_site_fract_z
Ho1 Ho 0.1694 0.1653 0.1621
Er1 Er 0.0000 0.0000 0.5000
Er2 Er 0.0902 0.7310 0.3173
Er3 Er 0.3073 0.4514 0.8862
Th1 Th 0.4472 0.6474 0.6056

# HoEr6Th3 | Alexandria | PBE | optimized geometry
# * ΔE_f: 0.08 eV per atom
# * offset from the most stable computed form: 0.0 meV/atom
# * mass density: 9.83 g/cm³
# * volume: 31.50 Å³ per atom
# * magnetic moment: 0.000 μB per atom
data_HoEr6Th3
_chemical_formula_sum 'Ho2 Er12 Th6'
_space_group_name_H-M_alt 'P 1 21/m 1'
_space_group_IT_number 11
_space_group_name_Hall '-P 2yb'
_cell_length_a 13.0432
_cell_length_b 3.4946
_cell_length_c 14.5680
_cell_angle_alpha 90.00
_cell_angle_beta 108.44
_cell_angle_gamma 90.00
loop_
_atom_site_label
_atom_site_type_symbol
_atom_site_fract_x
_atom_site_fract_y
_atom_site_fract_z
Ho1 Ho 0.0807 0.2500 0.1971
Er1 Er 0.1399 0.7500 0.0135
Er2 Er 0.1550 0.2500 0.8090
Er3 Er 0.2149 0.2500 0.6006
Er4 Er 0.2594 0.7500 0.4022
Er5 Er 0.3390 0.2500 0.2239
Er6 Er 0.3931 0.7500 0.7904
Th1 Th 0.0063 0.2500 0.3949
Th2 Th 0.3846 0.2500 0.0041
Th3 Th 0.4656 0.2500 0.5905

# Ho2Er5Th2 | Alexandria | PBE | optimized geometry
# * ΔE_f: 0.19 eV per atom
# * offset from the most stable computed form: 0.0 meV/atom
# * mass density: 9.51 g/cm³
# * volume: 31.63 Å³ per atom
# * magnetic moment: 0.000 μB per atom
data_Ho2Er5Th2
_chemical_formula_sum 'Ho8 Er20 Th8'
_space_group_name_H-M_alt 'C 1 2 1'
_space_group_IT_number 5
_space_group_name_Hall 'C 2y'
_cell_length_a 16.4563
_cell_length_b 6.5894
_cell_length_c 11.8127
_cell_angle_alpha 90.00
_cell_angle_beta 117.26
_cell_angle_gamma 90.00
loop_
_atom_site_label
_atom_site_type_symbol
_atom_site_fract_x
_atom_site_fract_y
_atom_site_fract_z
Ho1 Ho 0.1142 0.0000 0.1159
Ho2 Ho 0.1396 0.5505 0.6372
Er1 Er 0.0475 0.7305 0.8075
Er2 Er 0.0643 0.1813 0.8019
Er3 Er 0.1142 0.3756 0.3543
Er4 Er 0.1752 0.8767 0.4274
Er5 Er 0.2300 0.4069 0.9911
Th1 Th 0.0000 0.0224 0.5000
Th2 Th 0.0000 0.4627 0.0000
Th3 Th 0.2313 0.0695 0.7244

# Ho2ErTh | Alexandria | PBE | optimized geometry
# * ΔE_f: 0.15 eV per atom
# * offset from the most stable computed form: 128.0 meV/atom
# * mass density: 9.56 g/cm³
# * volume: 31.66 Å³ per atom
# * magnetic moment: 0.001 μB per atom
data_Ho2ErTh
_chemical_formula_sum 'Ho8 Er4 Th4'
_space_group_name_H-M_alt 'F m -3 m'
_space_group_IT_number 225
_space_group_name_Hall '-F 4 2 3'
_cell_length_a 7.9718
_cell_length_b 7.9718
_cell_length_c 7.9718
_cell_angle_alpha 90.00
_cell_angle_beta 90.00
_cell_angle_gamma 90.00
loop_
_atom_site_label
_atom_site_type_symbol
_atom_site_fract_x
_atom_site_fract_y
_atom_site_fract_z
Ho1 Ho 0.2500 0.2500 0.2500
Er1 Er 0.0000 0.0000 0.0000
Th1 Th 0.0000 0.0000 0.5000